No. 1
# PBE-GGA Ca3Sn2Hg7, optimized geometry
data_Ca3Sn2Hg7
_chemical_formula_sum 'Ca3 Sn2 Hg7'
_cell_length_a 4.9044
_cell_length_b 4.2721
_cell_length_c 15.9384
_cell_angle_alpha 90.00
_cell_angle_beta 98.00
_cell_angle_gamma 90.00
_symmetry_space_group_name_H-M 'P 1 2/m 1'
_symmetry_Int_Tables_number 10
loop_
_symmetry_equiv_pos_as_xyz
'x,y,z'
'-x,-y,-z'
'-x,y,-z'
'x,-y,z'
loop_
_atom_site_label
_atom_site_type_symbol
_atom_site_fract_x
_atom_site_fract_y
_atom_site_fract_z
Ca1 Ca 0.0000 0.0000 0.0000
Ca2 Ca 0.3069 0.5000 0.6403
Sn1 Sn 0.1575 0.0000 0.2772
Hg1 Hg 0.0745 0.5000 0.1453
Hg2 Hg 0.2306 0.0000 0.4571
Hg3 Hg 0.4123 0.0000 0.8445
Hg4 Hg 0.5000 0.5000 0.0000
# DOS(E_F) in states/eV per cell: 4.150
# Total DFT energy (no corrections) in eV/atom: -1.6425
# Calculated volume in Å³ per cell: 330.7
# Magnetic moment in μB per cell: 0.00

***

No. 2
# PBE-GGA CaMgRe2, optimized geometry
data_CaMgRe2
_chemical_formula_sum 'Ca1 Mg1 Re2'
_cell_length_a 2.7119
_cell_length_b 2.7119
_cell_length_c 9.5806
_cell_angle_alpha 90.00
_cell_angle_beta 90.00
_cell_angle_gamma 90.00
_symmetry_space_group_name_H-M 'P 4/m m m'
_symmetry_Int_Tables_number 123
_symmetry_space_group_name_Hall '-P 4 2'
loop_
_atom_site_label
_atom_site_type_symbol
_atom_site_fract_x
_atom_site_fract_y
_atom_site_fract_z
Ca1 Ca 0.0000 0.0000 0.0000
Mg1 Mg 0.0000 0.0000 0.5000
Re1 Re 0.5000 0.5000 0.2664
# DOS(E_F) in states/eV per cell: 3.047
# Total DFT energy (no corrections) in eV/atom: -6.5192
# Calculated volume in Å³ per cell: 70.5
# Magnetic moment in μB per cell: 0.00

***

No. 3
# PBE-GGA Cs2CoTeS4, optimized geometry
data_Cs2CoTeS4
_chemical_formula_sum 'Cs16 Co8 Te8 S32'
_cell_length_a 5.9969
_cell_length_b 14.7389
_cell_length_c 25.2534
_cell_angle_alpha 90.00
_cell_angle_beta 90.00
_cell_angle_gamma 90.00
_symmetry_space_group_name_H-M 'F d d d'
_symmetry_Int_Tables_number 70
loop_
_symmetry_equiv_pos_as_xyz
'x,y,z'
'-x,-y,-z'
'-x+1/4,-y+1/4,z'
'x+1/4,y+1/4,-z'
'x,-y+1/4,-z+1/4'
'-x,y+1/4,z+1/4'
'-x+1/4,y,-z+1/4'
'x+1/4,-y,z+1/4'
'x,y+1/2,z+1/2'
'-x,-y+1/2,-z+1/2'
'-x+1/4,-y+3/4,z+1/2'
'x+1/4,y+3/4,-z+1/2'
'x,-y+3/4,-z+3/4'
'-x,y+3/4,z+3/4'
'-x+1/4,y+1/2,-z+3/4'
'x+1/4,-y+1/2,z+3/4'
'x+1/2,y,z+1/2'
'-x+1/2,-y,-z+1/2'
'-x+3/4,-y+1/4,z+1/2'
'x+3/4,y+1/4,-z+1/2'
'x+1/2,-y+1/4,-z+3/4'
'-x+1/2,y+1/4,z+3/4'
'-x+3/4,y,-z+3/4'
'x+3/4,-y,z+3/4'
'x+1/2,y+1/2,z'
'-x+1/2,-y+1/2,-z'
'-x+3/4,-y+3/4,z'
'x+3/4,y+3/4,-z'
'x+1/2,-y+3/4,-z+1/4'
'-x+1/2,y+3/4,z+1/4'
'-x+3/4,y+1/2,-z+1/4'
'x+3/4,-y+1/2,z+1/4'
loop_
_atom_site_label
_atom_site_type_symbol
_atom_site_fract_x
_atom_site_fract_y
_atom_site_fract_z
Cs1 Cs 0.1250 0.1250 0.3028
Co1 Co 0.1250 0.1250 0.6250
Te1 Te 0.1250 0.1250 0.1250
S1 S 0.0950 0.2807 0.8225
# DOS(E_F) in states/eV per cell: 0.333
# Total DFT energy (no corrections) in eV/atom: -3.9839
# Raw formation energy in eV/atom: -0.426
# Calculated volume in Å³ per cell: 2232.1
# Magnetic moment in μB per cell: 24.00

***

No. 4
# PBE-GGA FeP2Br, optimized geometry
data_FeP2Br
_chemical_formula_sum 'Fe2 P4 Br2'
_cell_length_a 3.2284
_cell_length_b 8.2524
_cell_length_c 8.8100
_cell_angle_alpha 90.00
_cell_angle_beta 90.00
_cell_angle_gamma 90.00
_symmetry_space_group_name_H-M 'I m m 2'
_symmetry_Int_Tables_number 44
loop_
_symmetry_equiv_pos_as_xyz
'x,y,z'
'-x,-y,z'
'-x,y,z'
'x,-y,z'
'x+1/2,y+1/2,z+1/2'
'-x+1/2,-y+1/2,z+1/2'
'-x+1/2,y+1/2,z+1/2'
'x+1/2,-y+1/2,z+1/2'
loop_
_atom_site_label
_atom_site_type_symbol
_atom_site_fract_x
_atom_site_fract_y
_atom_site_fract_z
Fe1 Fe 0.0000 0.0000 0.0000
P1 P 0.0000 0.0000 0.6292
P2 P 0.0000 0.5000 0.2887
Br1 Br 0.0000 0.5000 0.7061
# DOS(E_F) in states/eV per cell: 3.279
# Total DFT energy (no corrections) in eV/atom: -4.8860
# Raw formation energy in eV/atom: 0.353
# Energy above the lowest structure with this stoichiometry in meV per atom: 446
# Calculated volume in Å³ per cell: 234.7
# Magnetic moment in μB per cell: 6.47

***

No. 5
# PBE-GGA NaSr3O, optimized geometry
data_NaSr3O
_chemical_formula_sum 'Na1 Sr3 O1'
_cell_length_a 5.4424
_cell_length_b 5.4424
_cell_length_c 5.4424
_cell_angle_alpha 90.00
_cell_angle_beta 90.00
_cell_angle_gamma 90.00
_symmetry_space_group_name_H-M 'P m -3 m'
_symmetry_Int_Tables_number 221
_symmetry_space_group_name_Hall '-P 4 2 3'
loop_
_atom_site_label
_atom_site_type_symbol
_atom_site_fract_x
_atom_site_fract_y
_atom_site_fract_z
Na1 Na 0.0000 0.0000 0.0000
Sr1 Sr 0.0000 0.5000 0.5000
O1 O 0.5000 0.5000 0.5000
# DOS(E_F) in states/eV per cell: 3.947
# Total DFT energy (no corrections) in eV/atom: -3.2186
# Raw formation energy in eV/atom: -0.954
# Energy above the lowest structure with this stoichiometry in meV per atom: 115
# Calculated volume in Å³ per cell: 161.2
# Magnetic moment in μB per cell: 0.00

***

No. 6
# PBE-GGA RbIn6Pb, optimized geometry
data_RbIn6Pb
_chemical_formula_sum 'Rb1 In6 Pb1'
_cell_length_a 5.4573
_cell_length_b 5.4573
_cell_length_c 8.8446
_cell_angle_alpha 90.00
_cell_angle_beta 90.00
_cell_angle_gamma 90.00
_symmetry_space_group_name_H-M 'P 4/m m m'
_symmetry_Int_Tables_number 123
_symmetry_space_group_name_Hall '-P 4 2'
loop_
_atom_site_label
_atom_site_type_symbol
_atom_site_fract_x
_atom_site_fract_y
_atom_site_fract_z
Rb1 Rb 0.0000 0.0000 0.0000
In1 In 0.0000 0.5000 0.3190
In2 In 0.5000 0.5000 0.1657
Pb1 Pb 0.0000 0.0000 0.5000
# DOS(E_F) in states/eV per cell: 4.464
# Total DFT energy (no corrections) in eV/atom: -2.6676
# Calculated volume in Å³ per cell: 263.4
# Magnetic moment in μB per cell: 0.00

***

No. 7
# PBE-GGA CsAsSN2, optimized geometry
data_CsAsSN2
_chemical_formula_sum 'Cs1 As1 S1 N2'
_cell_length_a 4.1995
_cell_length_b 4.1995
_cell_length_c 6.6478
_cell_angle_alpha 90.00
_cell_angle_beta 90.00
_cell_angle_gamma 90.00
_symmetry_space_group_name_H-M 'P 4/m m m'
_symmetry_Int_Tables_number 123
_symmetry_space_group_name_Hall '-P 4 2'
loop_
_atom_site_label
_atom_site_type_symbol
_atom_site_fract_x
_atom_site_fract_y
_atom_site_fract_z
Cs1 Cs 0.0000 0.0000 0.0000
As1 As 0.5000 0.5000 0.5000
S1 S 0.0000 0.0000 0.5000
N1 N 0.0000 0.5000 0.0000
# DOS(E_F) in states/eV per cell: 4.987
# Total DFT energy (no corrections) in eV/atom: -2.7127
# Raw formation energy in eV/atom: 2.544
# Calculated volume in Å³ per cell: 117.2
# Magnetic moment in μB per cell: 0.92

***

No. 8
# PBE-GGA KTa2Mo, optimized geometry
data_KTa2Mo
_chemical_formula_sum 'K4 Ta8 Mo4'
_cell_length_a 5.4095
_cell_length_b 5.4095
_cell_length_c 17.0672
_cell_angle_alpha 90.00
_cell_angle_beta 90.00
_cell_angle_gamma 90.00
_symmetry_space_group_name_H-M 'I -4 2 d'
_symmetry_Int_Tables_number 122
_symmetry_space_group_name_Hall 'I -4 2bw'
loop_
_atom_site_label
_atom_site_type_symbol
_atom_site_fract_x
_atom_site_fract_y
_atom_site_fract_z
K1 K 0.0000 0.0000 0.0000
Ta1 Ta 0.0339 0.2500 0.6250
Mo1 Mo 0.0000 0.0000 0.5000
# DOS(E_F) in states/eV per cell: 21.546
# Total DFT energy (no corrections) in eV/atom: -7.0000
# Energy above the lowest structure with this stoichiometry in meV per atom: 1327
# Calculated volume in Å³ per cell: 499.4
# Magnetic moment in μB per cell: 0.00